1.
A geometry-optimized Tb7Nd3Dy2 structure. Source: Alexandria via LeMat-Bulk, functional GGA-PBE.

```
Tb7Nd3Dy2
1.0
-0.0592 2.9926 -1.9695
-4.4667 -2.1507 -3.1336
-11.4363 8.1027 12.6555
Tb Nd Dy
7 3 2
Cartesian
-8.6421 3.6488 2.5448 Tb
-7.3201 5.2958 5.0076 Tb
-4.7330 -0.3183 -0.3414 Tb
0.0000 0.0000 0.0000 Tb
-11.1700 6.2703 9.8632 Tb
-13.0515 6.4326 6.9072 Tb
-2.9106 2.5120 0.6451 Tb
-2.2629 0.4209 -2.5516 Nd
-5.1858 2.4916 3.9417 Nd
-10.7172 3.4604 5.5801 Nd
-6.5631 2.3410 0.4951 Dy
-9.3991 6.6036 7.0573 Dy
```

Results
Final energy (eV per atom): -4.575
Symmetry: P2/m (10)
Offset from the most stable computed form (meV/atom): 4

2.
A geometry-optimized LiThAlIn structure. Source: Alexandria via LeMat-Bulk, functional GGA-PBE.

```
LiThAlIn
1.0
5.1485 0.0000 0.0000
2.5743 4.4588 0.0000
2.5743 1.4863 4.2038
Li Al Th In
1 1 1 1
Cartesian
2.5743 1.4863 1.0509 Li
0.0000 0.0000 0.0000 Al
7.7228 4.4588 3.1528 Th
5.1485 2.9725 2.1019 In
```

Results
Final energy (eV per atom): -4.073
Symmetry: F-43m (216)

What DFT formation energy values result from the calculations? In sequence: 0.08; -0.12 eV per atom.